Entry 1:
First-principles (PBE) data for a relaxed Ca2Zr2Pt crystal, as listed in the Alexandria database.

The energy above the most stable polymorph in this dataset is 0.00 eV/f.u. Its formation energy is -0.519 eV/f.u.

Structure (extended XYZ):
```
10
Lattice="-0.1749 -6.4235 2.6796 5.8186 1.3359 3.5821 -3.0377 1.8529 4.2434" Properties=species:S:1:pos:R:3 pbc="T T T"
Ca 2.3639 0.7169 4.9927
Ca 3.1786 -2.2877 6.8879
Ca 0.2422 -3.9516 5.5124
Ca -0.5726 -0.9470 3.6171
Zr 4.9065 -1.1325 4.0069
Zr 3.6102 -4.6217 4.6025
Zr 0.7372 -3.9552 2.2548
Zr 2.0335 -0.4659 1.6592
Pt 0.0000 0.0000 0.0000
Pt 2.8219 -2.5438 3.1309
```

Entry 2:
First-principles (PBE) data for a relaxed NdY2HoTh crystal, as listed in the Alexandria database.

Its formation energy is 1.686 eV/f.u.

Structure (extended XYZ):
```
10
Lattice="6.4321 0.0000 0.0000 0.0000 8.5953 0.9246 0.0000 -1.5688 6.1173" Properties=species:S:1:pos:R:3 pbc="T T T"
Nd 0.0000 0.0000 0.0000
Nd 0.0000 -0.7844 3.0587
Y 4.4222 4.6467 5.4899
Y 4.4222 1.5953 4.6107
Y 2.0099 5.4311 2.4312
Y 2.0099 2.3798 1.5520
Ho 1.1190 3.1210 5.0503
Ho 5.3131 3.9054 1.9916
Th 3.5363 -0.3922 1.5293
Th 2.8958 -1.1766 4.5880
```

Question: Which of these has the highest formation energy?
Answer: NdY2HoTh

Question: Which of these has the lowest formation energy?
Answer: Ca2Zr2Pt